Entry from Alexandria via LeMat-Bulk: Sr2SnAs2 after structural relaxation (PBE).

Structure (POSCAR):
```
Sr2SnAs2
1.0
9.726 0.000 0.000
0.000 6.311 0.000
0.000 0.000 10.428
Sr Sn As
8 4 8
direct
0.039 0.250 0.150 Sr
0.136 0.250 0.567 Sr
0.364 0.750 0.067 Sr
0.461 0.750 0.650 Sr
0.539 0.250 0.350 Sr
0.636 0.250 0.933 Sr
0.864 0.750 0.433 Sr
0.961 0.750 0.850 Sr
0.231 0.750 0.359 Sn
0.269 0.250 0.859 Sn
0.731 0.750 0.141 Sn
0.769 0.250 0.641 Sn
0.029 0.750 0.168 As
0.143 0.750 0.596 As
0.357 0.250 0.096 As
0.471 0.250 0.668 As
0.529 0.750 0.332 As
0.643 0.750 0.904 As
0.857 0.250 0.404 As
0.971 0.250 0.832 As
```

Output
For the calculated density, the calculation gives 4.6 Mg/m³. The density of states at the Fermi level is 0.626 states/eV/atom. The offset from the most stable computed form comes out at 53 meV per atom.